Entry 1:
## SrLi2SnBr6 (PBE-GGA)

Data for an optimized crystal structure of SrLi2SnBr6.

ρ = 3.49 g cm⁻³
Space-group type = No. 15
E_form (uncorrected) = -1.463 eV/atom
Total magnetic moment = 0.00 μB/atom
Electronic total energy = -3.418 eV per atom

Structure (POSCAR):
```
SrLi2SnBr6
1.0
6.7035 -6.5795 0.0000
6.7035 6.5795 0.0000
-1.3442 0.0000 7.5575
Sr Li Sn Br
2 4 2 12
Direct
0.0967 0.9033 0.7500 Sr
0.9033 0.0967 0.2500 Sr
0.2386 0.4067 0.6876 Li
0.4067 0.2386 0.1876 Li
0.5933 0.7614 0.8124 Li
0.7614 0.5933 0.3124 Li
0.2822 0.7178 0.2500 Sn
0.7178 0.2822 0.7500 Sn
0.0378 0.2067 0.6270 Br
0.1387 0.6139 0.8840 Br
0.2067 0.0378 0.1270 Br
0.2916 0.4430 0.3741 Br
0.3861 0.8613 0.6160 Br
0.4430 0.2916 0.8741 Br
0.5570 0.7084 0.1259 Br
0.6139 0.1387 0.3840 Br
0.7084 0.5570 0.6259 Br
0.7933 0.9622 0.8730 Br
0.8613 0.3861 0.1160 Br
0.9622 0.7933 0.3730 Br
```

Entry 2:
## La4CePr3 (PBE-GGA)

Data for an optimized crystal structure of La4CePr3.

ρ = 6.52 g cm⁻³
Space-group type = No. 12
Total magnetic moment = 0.07 μB/atom
Electronic total energy = -4.799 eV per atom

Structure (POSCAR):
```
La4CePr3
1.0
13.0323 -1.7559 0.0000
13.0323 1.7559 0.0000
-0.7163 0.0000 6.2214
La Ce Pr
4 1 3
Direct
0.1011 0.1011 0.2038 La
0.2800 0.2800 0.7640 La
0.7200 0.7200 0.2360 La
0.8989 0.8989 0.7962 La
0.5000 0.5000 0.0000 Ce
0.0000 0.0000 0.5000 Pr
0.1440 0.1440 0.7236 Pr
0.8560 0.8560 0.2764 Pr
```

Entry 3:
## NdAlO3 (PBE-GGA)

Data for an optimized crystal structure of NdAlO3.

ρ = 6.77 g cm⁻³
Space-group type = No. 221
E_form (uncorrected) = -3.227 eV/atom
Total magnetic moment = 0.00 μB/atom
Electronic total energy = -7.904 eV per atom

Structure (POSCAR):
```
NdAlO3
1.0
3.7736 0.0000 0.0000
0.0000 3.7736 0.0000
0.0000 0.0000 3.7736
Nd Al O
1 1 3
Direct
0.0000 0.0000 0.0000 Nd
0.5000 0.5000 0.5000 Al
0.0000 0.5000 0.5000 O
0.5000 0.0000 0.5000 O
0.5000 0.5000 0.0000 O
```

Entry 4:
## Ca2VCr2 (PBE-GGA)

Data for an optimized crystal structure of Ca2VCr2.

ρ = 3.56 g cm⁻³
Space-group type = No. 139
Total magnetic moment = 0.69 μB/atom
Electronic total energy = -5.558 eV per atom

Structure (POSCAR):
```
Ca2VCr2
1.0
-1.6092 1.6092 10.5953
1.6092 -1.6092 10.5953
1.6092 1.6092 -10.5953
Ca V Cr
2 1 2
Direct
0.1183 0.1183 0.0000 Ca
0.8817 0.8817 0.0000 Ca
0.5000 0.5000 0.0000 V
0.2500 0.7500 0.5000 Cr
0.7500 0.2500 0.5000 Cr
```

Entry 5:
## Ho5Tl3 (PBE-GGA)

Data for an optimized crystal structure of Ho5Tl3.

ρ = 10.33 g cm⁻³
Space-group type = No. 193
Total magnetic moment = 0.00 μB/atom
Electronic total energy = -4.048 eV per atom

Structure (POSCAR):
```
Ho5Tl3
1.0
9.0000 0.0000 0.0000
-4.5000 7.7942 0.0000
0.0000 0.0000 6.5890
Ho Tl
10 6
Direct
0.0000 0.2342 0.2500 Ho
0.0000 0.7658 0.7500 Ho
0.2342 0.0000 0.2500 Ho
0.2342 0.2342 0.7500 Ho
0.3333 0.6667 0.0000 Ho
0.3333 0.6667 0.5000 Ho
0.6667 0.3333 0.0000 Ho
0.6667 0.3333 0.5000 Ho
0.7658 0.0000 0.7500 Ho
0.7658 0.7658 0.2500 Ho
0.0000 0.4030 0.7500 Tl
0.0000 0.5970 0.2500 Tl
0.4030 0.0000 0.7500 Tl
0.4030 0.4030 0.2500 Tl
0.5970 0.0000 0.2500 Tl
0.5970 0.5970 0.7500 Tl
```

Entry 6:
## PmInPb2 (PBE-GGA)

Data for an optimized crystal structure of PmInPb2.

ρ = 9.57 g cm⁻³
Space-group type = No. 123
Total magnetic moment = 0.00 μB/atom
Electronic total energy = -3.965 eV per atom

Structure (POSCAR):
```
PmInPb2
1.0
4.1210 0.0000 0.0000
0.0000 4.1210 0.0000
0.0000 0.0000 6.8915
Pm In Pb
1 1 2
Direct
0.0000 0.0000 0.0000 Pm
0.0000 0.0000 0.5000 In
0.5000 0.5000 0.2628 Pb
0.5000 0.5000 0.7372 Pb
```

Entry 7:
## Mn2PSe (PBE-GGA)

Data for an optimized crystal structure of Mn2PSe.

ρ = 6.06 g cm⁻³
Space-group type = No. 8
E_form (uncorrected) = -0.156 eV/atom
Total magnetic moment = 0.85 μB/atom
Electronic total energy = -6.964 eV per atom

Structure (POSCAR):
```
Mn2PSe
1.0
3.6388 -1.5953 0.0000
3.6388 1.5953 0.0000
-0.9459 0.0000 5.1900
Mn P Se
2 1 1
Direct
0.0000 0.0000 0.0000 Mn
0.2369 0.2369 0.6234 Mn
0.5401 0.5401 0.7047 P
0.7400 0.7400 0.2645 Se
```

Entry 8:
## TbBe2Pd5 (PBE-GGA)

Data for an optimized crystal structure of TbBe2Pd5.

ρ = 9.59 g cm⁻³
Space-group type = No. 71
Total magnetic moment = 0.00 μB/atom
Electronic total energy = -5.389 eV per atom

Structure (POSCAR):
```
TbBe2Pd5
1.0
-1.9367 3.1830 4.9796
1.9367 -3.1830 4.9796
1.9367 3.1830 -4.9796
Tb Be Pd
1 2 5
Direct
0.0000 0.0000 0.0000 Tb
0.2776 0.7776 0.5000 Be
0.7224 0.2224 0.5000 Be
0.1380 0.3519 0.7861 Pd
0.4342 0.6481 0.7861 Pd
0.5000 0.0000 0.5000 Pd
0.5658 0.3519 0.2139 Pd
0.8620 0.6481 0.2139 Pd
```

Entry 9:
## Os (PBE-GGA)

Data for an optimized crystal structure of Os.

ρ = 22.10 g cm⁻³
Space-group type = No. 194
Total magnetic moment = 0.00 μB/atom
Electronic total energy = -11.230 eV per atom

Structure (POSCAR):
```
Os
1.0
2.7627 0.0000 0.0000
-1.3814 2.3926 0.0000
0.0000 0.0000 4.3246
Os
2
Direct
0.3333 0.6667 0.2500 Os
0.6667 0.3333 0.7500 Os
```

Entry 10:
## CoRe2HRh (PBE-GGA)

Data for an optimized crystal structure of CoRe2HRh.

ρ = 15.64 g cm⁻³
Space-group type = No. 123
Total magnetic moment = 0.06 μB/atom
Electronic total energy = -8.395 eV per atom

Structure (POSCAR):
```
CoRe2HRh
1.0
3.8334 0.0000 0.0000
0.0000 3.8334 0.0000
0.0000 0.0000 3.8676
Co Re H Rh
1 2 1 1
Direct
0.0000 0.0000 0.0000 Co
0.0000 0.5000 0.5000 Re
0.5000 0.0000 0.5000 Re
0.0000 0.0000 0.5000 H
0.5000 0.5000 0.0000 Rh
```

Entry 11:
## BaSr2 (PBE-GGA)

Data for an optimized crystal structure of BaSr2.

ρ = 2.94 g cm⁻³
Space-group type = No. 65
Total magnetic moment = 0.00 μB/atom
Electronic total energy = -1.675 eV per atom

Structure (POSCAR):
```
BaSr2
1.0
2.1043 -10.1183 0.0000
2.1043 10.1183 0.0000
0.0000 0.0000 4.1484
Ba Sr
1 2
Direct
0.0000 0.0000 0.0000 Ba
0.3386 0.6614 0.5000 Sr
0.6614 0.3386 0.5000 Sr
```

Entry 12:
## AcTh2Co (PBE-GGA)

Data for an optimized crystal structure of AcTh2Co.

ρ = 9.95 g cm⁻³
Space-group type = No. 160
Total magnetic moment = 0.00 μB/atom
Electronic total energy = -6.602 eV per atom

Structure (POSCAR):
```
AcTh2Co
1.0
1.9640 1.1339 9.3654
-1.9640 1.1339 9.3654
0.0000 -2.2678 9.3654
Ac Th Co
1 2 1
Direct
0.0000 0.0000 0.0000 Ac
0.2213 0.2213 0.2213 Th
0.4451 0.4451 0.4451 Th
0.8343 0.8343 0.8343 Co
```